1.
Entry from Alexandria: a relaxed structure of TeMoPd3 (GGA-PBEsol).

```
data_TeMoPd3
_chemical_formula_sum 'Te1 Mo1 Pd3'
_cell_length_a 4.8211
_cell_length_b 4.8211
_cell_length_c 4.8211
_cell_angle_alpha 90.00
_cell_angle_beta 90.00
_cell_angle_gamma 90.00
_symmetry_space_group_name_H-M 'P m -3 m'
_symmetry_Int_Tables_number 221
_symmetry_space_group_name_Hall '-P 4 2 3'
loop_
_atom_site_label
_atom_site_type_symbol
_atom_site_fract_x
_atom_site_fract_y
_atom_site_fract_z
Te1 Te 0.0000 0.0000 0.0000
Mo1 Mo 0.5000 0.5000 0.5000
Pd1 Pd 0.0000 0.0000 0.5000
```

Computed properties:
* volume: 112.1 Å³/f.u.
* E above lowest polymorph: 0.000 eV per atom
* M_tot: 0.820 μB/atom
* ρ: 8.0 Mg/m³
* crystal system: cubic
* N(E_F): 0.88 states/eV/atom
* uncorrected formation energy: 1.06 eV per atom
* energy: -5.58 eV/atom

=====

2.
Entry from Alexandria: a relaxed structure of PrMo6S8 (GGA-PBEsol).

```
data_PrMo6S8
_chemical_formula_sum 'Pr3 Mo18 S24'
_cell_length_a 8.9828
_cell_length_b 8.9828
_cell_length_c 11.4448
_cell_angle_alpha 90.00
_cell_angle_beta 90.00
_cell_angle_gamma 120.00
_symmetry_space_group_name_H-M 'R -3'
_symmetry_Int_Tables_number 148
_symmetry_space_group_name_Hall '-R 3'
loop_
_atom_site_label
_atom_site_type_symbol
_atom_site_fract_x
_atom_site_fract_y
_atom_site_fract_z
Pr1 Pr 0.0000 0.0000 0.0000
Mo1 Mo 0.0172 0.8385 0.4022
S1 S 0.0000 0.0000 0.2435
S2 S 0.0007 0.3748 0.7516
```

Computed properties:
* volume: 266.6 Å³/f.u.
* M_tot: 0.000 μB/atom
* ρ: 6.1 Mg/m³
* crystal system: trigonal
* N(E_F): 0.42 states/eV/atom
* uncorrected formation energy: -1.01 eV per atom
* energy: -8.40 eV/atom